Record 1
# Sc6Tl5Sn (PBE, optimized geometry)
# * energy of formation: -0.242 eV/atom
data_Sc6Tl5Sn
_chemical_formula_sum 'Sc12 Tl10 Sn2'
_cell_length_a 6.079
_cell_length_b 10.527
_cell_length_c 9.508
_cell_angle_alpha 90.00
_cell_angle_beta 102.28
_cell_angle_gamma 90.00
_space_group_name_H-M_alt 'C 1 2/m 1'
_space_group_IT_number 12
_space_group_name_Hall '-C 2y'
loop_
_atom_site_label
_atom_site_type_symbol
_atom_site_fract_x
_atom_site_fract_y
_atom_site_fract_z
Sc1 Sc 0.246 0.000 0.250
Sc2 Sc 0.249 0.165 0.750
Tl1 Tl 0.000 0.168 0.000
Tl2 Tl 0.000 0.333 0.500
Tl3 Tl 0.000 0.500 0.000
Sn1 Sn 0.000 0.000 0.500

Record 2
# ScTl2Sn2 (PBE, optimized geometry)
# * energy of formation: 0.000 eV/atom
data_ScTl2Sn2
_chemical_formula_sum 'Sc2 Tl4 Sn4'
_cell_length_a 7.776
_cell_length_b 7.776
_cell_length_c 4.694
_cell_angle_alpha 90.00
_cell_angle_beta 90.00
_cell_angle_gamma 90.00
_space_group_name_H-M_alt 'P 4/m b m'
_space_group_IT_number 127
_space_group_name_Hall '-P 4 2ab'
loop_
_atom_site_label
_atom_site_type_symbol
_atom_site_fract_x
_atom_site_fract_y
_atom_site_fract_z
Sc1 Sc 0.000 0.000 0.000
Tl1 Tl 0.174 0.326 0.500
Sn1 Sn 0.135 0.635 0.000

Record 3
# Sc2Tl2Sn (PBE, optimized geometry)
# * energy of formation: -0.143 eV/atom
data_Sc2Tl2Sn
_chemical_formula_sum 'Sc4 Tl4 Sn2'
_cell_length_a 8.385
_cell_length_b 8.385
_cell_length_c 3.571
_cell_angle_alpha 90.00
_cell_angle_beta 90.00
_cell_angle_gamma 90.00
_space_group_name_H-M_alt 'P 4/m b m'
_space_group_IT_number 127
_space_group_name_Hall '-P 4 2ab'
loop_
_atom_site_label
_atom_site_type_symbol
_atom_site_fract_x
_atom_site_fract_y
_atom_site_fract_z
Sc1 Sc 0.174 0.326 0.000
Tl1 Tl 0.128 0.628 0.500
Sn1 Sn 0.000 0.000 0.500

Record 4
# Sc6Tl5Sn (PBE, optimized geometry)
# * energy of formation: -0.293 eV/atom
data_Sc6Tl5Sn
_chemical_formula_sum 'Sc12 Tl10 Sn2'
_cell_length_a 8.741
_cell_length_b 15.410
_cell_length_c 5.137
_cell_angle_alpha 90.00
_cell_angle_beta 125.90
_cell_angle_gamma 90.00
_space_group_name_H-M_alt 'C 1 2/m 1'
_space_group_IT_number 12
_space_group_name_Hall '-C 2y'
loop_
_atom_site_label
_atom_site_type_symbol
_atom_site_fract_x
_atom_site_fract_y
_atom_site_fract_z
Sc1 Sc 0.243 0.000 0.243
Sc2 Sc 0.246 0.164 0.746
Tl1 Tl 0.000 0.173 0.000
Tl2 Tl 0.000 0.335 0.500
Tl3 Tl 0.000 0.500 0.000
Sn1 Sn 0.000 0.000 0.500